ZrCd2Fe: relaxed, PBE.

Unit cell a=5.3169 b=5.3169 c=5.3169 alpha=134.46 beta=134.46 gamma=66.38
Closest atoms and distances in Å follow each position.
Fractional positions:
Zr  0.0000  0.0000  0.0000  4 Fe 2.91, 8 Cd 3.03
Cd  0.2500  0.7500  0.5000  4 Cd 2.91, 4 Fe 3.03, 4 Zr 3.03
Cd  0.7500  0.2500  0.5000  4 Cd 2.91, 4 Fe 3.03, 4 Zr 3.03
Fe  0.5000  0.5000  0.0000  4 Zr 2.91, 8 Cd 3.03

Results
ΔE_f in eV/atom: 0.1583
Space group: I4/mmm
Spin magnetization in Bohr magnetons per cell: 1.2
Density of states at the Fermi level in states/eV/f.u.: 2.6
Mass density in g/cm3: 8.192
Raw total energy in eV/atom: -4.552


Zr6Cd2Fe: relaxed, PBE.

Unit cell a=8.2407 b=8.2407 c=3.2654 alpha=90.00 beta=90.00 gamma=120.00
Closest atoms and distances in Å follow each position.
Fractional positions:
Zr  0.0000  0.3790  0.0000  4 Cd 3.05, 1 Fe 3.12, 6 Zr 3.19-3.27
Zr  0.0000  0.7586  0.5000  2 Fe 2.57
Zr  0.2414  0.2414  0.5000  2 Fe 2.57
Zr  0.3790  0.0000  0.0000  4 Cd 3.05, 1 Fe 3.12, 6 Zr 3.19-3.27
Zr  0.6210  0.6210  0.0000  4 Cd 3.05, 1 Fe 3.12, 6 Zr 3.19-3.27
Zr  0.7586  0.0000  0.5000  2 Fe 2.57
Cd  0.3333  0.6667  0.5000  9 Zr 3.05-3.19, 2 Cd 3.27
Cd  0.6667  0.3333  0.5000  9 Zr 3.05-3.19, 2 Cd 3.27
Fe  0.0000  0.0000  0.0000  6 Zr 2.57

Results
ΔE_f in eV/atom: -0.0979
Space group: P-62m
Spin magnetization in Bohr magnetons per cell: 0.0
Density of states at the Fermi level in states/eV/f.u.: 8.2
Mass density in g/cm3: 7.159
Raw total energy in eV/atom: -6.940


ZrCdFe: relaxed, PBE.

Unit cell a=4.5780 b=4.5780 c=4.5780 alpha=60.00 beta=60.00 gamma=60.00
Closest atoms and distances in Å follow each position.
Fractional positions:
Zr  0.0000  0.0000  0.0000  4 Cd 2.80, 4 Fe 2.80
Cd  0.2500  0.2500  0.2500  4 Zr 2.80
Fe  0.7500  0.7500  0.7500  4 Zr 2.80

Results
ΔE_f in eV/atom: 0.8538
Space group: F-43m
Spin magnetization in Bohr magnetons per cell: 1.4
Density of states at the Fermi level in states/eV/f.u.: 6.7
Mass density in g/cm3: 6.351
Raw total energy in eV/atom: -5.122
Energy above the most stable polymorph in this dataset in kcal/mol of atoms: 20.86


ZrCd2Fe: relaxed, PBE.

Unit cell a=2.9221 b=4.3068 c=6.0249 alpha=90.00 beta=90.00 gamma=90.00
Closest atoms and distances in Å follow each position.
Fractional positions:
Zr  0.0000  0.0000  0.0000  2 Zr 2.92, 2 Fe 3.01, 8 Cd 3.06
Cd  0.5000  0.5000  0.2683  3 Cd 2.79-2.92, 4 Fe 2.95, 4 Zr 3.06
Cd  0.5000  0.5000  0.7317  3 Cd 2.79-2.92, 4 Fe 2.95, 4 Zr 3.06
Fe  0.0000  0.0000  0.5000  2 Fe 2.92, 8 Cd 2.95, 2 Zr 3.01

Results
ΔE_f in eV/atom: 0.1712
Space group: Pmmm
Spin magnetization in Bohr magnetons per cell: 2.3
Density of states at the Fermi level in states/eV/f.u.: 3.2
Mass density in g/cm3: 8.144
Raw total energy in eV/atom: -4.539


What is the ΔE_f in the fourth record?
0.1712 eV/atom